Record 1
Below is Cs2CeHoS4 after structural relaxation, with properties calculated at the PBE level.

* formation energy (no corrections): -1784 meV/atom
* magnetization: 0.994 μB per formula unit
* uncorrected energy: -5.38 eV/atom

Cell and atoms, written as POSCAR:
```
Cs2CeHoS4
1.0
-3.120 1.707 2.199
-4.752 -2.281 -4.971
0.655 -6.148 5.702
S Ho Ce Cs
4 1 1 2
Cartesian
-0.716 -5.619 3.346 S
-4.735 -5.960 1.885 S
-3.380 -2.810 -2.614 S
-2.481 -0.761 1.046 S
0.000 0.000 0.000 Ho
-3.936 -0.287 -1.386 Ce
-1.232 -2.220 3.951 Cs
-2.048 -4.214 0.366 Cs
```

---

Record 2
Below is Cs4CeHo3S8 after structural relaxation, with properties calculated at the PBE level.

* formation energy (no corrections): -1807 meV/atom
* magnetization: 0.955 μB per formula unit
* uncorrected energy: -5.31 eV/atom

Cell and atoms, written as POSCAR:
```
Cs4CeHo3S8
1.0
8.273 0.000 0.000
0.000 9.336 0.742
-4.136 -4.131 5.853
S Ho Cs Ce
8 3 4 1
Cartesian
0.000 0.728 3.436 S
2.120 2.764 0.525 S
0.000 4.455 3.216 S
4.136 0.750 3.379 S
4.136 4.477 3.159 S
-2.017 2.441 6.070 S
2.017 2.441 6.070 S
6.153 2.764 0.525 S
-2.068 2.603 3.297 Ho
4.136 4.668 0.371 Ho
2.068 2.603 3.297 Ho
-2.068 -2.066 2.926 Cs
2.068 -2.066 2.926 Cs
0.000 0.000 0.000 Cs
4.136 0.000 0.000 Cs
0.000 4.668 0.371 Ce
```

---

Record 3
Below is CsCeHo4S8 after structural relaxation, with properties calculated at the PBE level.

* formation energy (no corrections): -1836 meV/atom
* magnetization: 1.007 μB per formula unit
* uncorrected energy: -5.99 eV/atom

Cell and atoms, written as POSCAR:
```
CsCeHo4S8
1.0
8.271 0.000 0.000
4.136 7.163 0.000
4.136 2.388 6.990
S Ce Cs Ho
8 1 1 4
Cartesian
8.271 2.295 1.838 S
6.123 6.015 1.838 S
10.666 3.392 5.011 S
10.419 6.015 1.838 S
4.136 2.388 2.235 S
8.271 7.541 5.011 S
12.407 7.163 5.108 S
5.876 3.392 5.011 S
4.136 2.388 6.889 Ce
8.271 4.775 6.227 Cs
6.134 1.234 3.521 Ho
8.271 4.775 0.862 Ho
4.136 4.696 3.521 Ho
2.137 1.234 3.521 Ho
```

---

The highest magnetization belongs to which entry?
CsCeHo4S8